# 1
# Na2TlHg2

A geometry-optimized Na2TlHg2 structure (PBE, the Alexandria database).

Properties
- SG = P4/mbm
- energy of formation from the pure elements (meV/atom) = -144.6
- E_tot (eV per cell) = -12.7
- DOS(E_F) (states/eV/cell) = 3.56
- total moment (μB/f.u.) = 0.00

Lattice parameters (Å, degrees): 8.987 8.987 3.403 90.00 90.00 90.00
Fractional coordinates of all 10 atoms:
Na (0.139, 0.361, 0.000)
Na (0.361, 0.861, 0.000)
Na (0.639, 0.139, 0.000)
Na (0.861, 0.639, 0.000)
Tl (0.000, 0.000, 0.000)
Tl (0.500, 0.500, 0.000)
Hg (0.157, 0.657, 0.500)
Hg (0.343, 0.157, 0.500)
Hg (0.657, 0.843, 0.500)
Hg (0.843, 0.343, 0.500)


# 2
# Na2Tl3Hg8

A geometry-optimized Na2Tl3Hg8 structure (PBE, the Alexandria database).

Properties
- SG = R-3m
- energy of formation from the pure elements (meV/atom) = -25.0
- E_tot (eV per cell) = -12.5
- DOS(E_F) (states/eV/cell) = 6.17
- total moment (μB/f.u.) = 0.00

Lattice parameters (Å, degrees): 12.231 12.231 12.231 29.04 29.04 29.04
Fractional coordinates of all 13 atoms:
Na (0.138, 0.138, 0.138)
Na (0.862, 0.862, 0.862)
Tl (0.317, 0.317, 0.317)
Tl (0.500, 0.500, 0.500)
Tl (0.683, 0.683, 0.683)
Hg (0.222, 0.222, 0.222)
Hg (0.232, 0.232, 0.731)
Hg (0.232, 0.731, 0.232)
Hg (0.269, 0.768, 0.768)
Hg (0.731, 0.232, 0.232)
Hg (0.768, 0.269, 0.768)
Hg (0.768, 0.768, 0.269)
Hg (0.778, 0.778, 0.778)


# 3
# Na8TlHg2

A geometry-optimized Na8TlHg2 structure (PBE, the Alexandria database).

Properties
- SG = P1
- energy of formation from the pure elements (meV/atom) = -126.1
- E_tot (eV per cell) = -14.9
- DOS(E_F) (states/eV/cell) = 3.49
- total moment (μB/f.u.) = 0.00

Lattice parameters (Å, degrees): 5.422 7.585 9.443 66.46 73.49 89.99
Fractional coordinates of all 11 atoms:
Na (0.000, 0.000, 0.000)
Na (0.035, 0.510, 0.929)
Na (0.202, 0.341, 0.600)
Na (0.366, 0.839, 0.269)
Na (0.401, 0.399, 0.198)
Na (0.592, 0.899, 0.818)
Na (0.702, 0.632, 0.598)
Na (0.809, 0.118, 0.383)
Tl (0.201, 0.908, 0.599)
Hg (0.539, 0.251, 0.921)
Hg (0.863, 0.575, 0.274)


# 4
# Na8Tl2Hg

A geometry-optimized Na8Tl2Hg structure (PBE, the Alexandria database).

Properties
- SG = C2/m
- energy of formation from the pure elements (meV/atom) = -103.3
- E_tot (eV per cell) = -16.7
- DOS(E_F) (states/eV/cell) = 4.11
- total moment (μB/f.u.) = 0.00

Lattice parameters (Å, degrees): 9.245 9.245 7.593 102.76 102.76 31.30
Fractional coordinates of all 11 atoms:
Na (0.043, 0.043, 0.248)
Na (0.144, 0.144, 0.695)
Na (0.322, 0.322, 0.587)
Na (0.401, 0.401, 0.052)
Na (0.599, 0.599, 0.948)
Na (0.678, 0.678, 0.413)
Na (0.856, 0.856, 0.305)
Na (0.957, 0.957, 0.752)
Tl (0.224, 0.224, 0.138)
Tl (0.776, 0.776, 0.862)
Hg (0.500, 0.500, 0.500)


# 5
# NaTl2Hg2

A geometry-optimized NaTl2Hg2 structure (PBE, the Alexandria database).

Properties
- SG = C2/m
- energy of formation from the pure elements (meV/atom) = -104.4
- E_tot (eV per cell) = -14.4
- DOS(E_F) (states/eV/cell) = 4.78
- total moment (μB/f.u.) = 0.00

Lattice parameters (Å, degrees): 6.574 6.574 9.158 106.87 106.87 48.03
Fractional coordinates of all 10 atoms:
Na (0.235, 0.235, 0.268)
Na (0.765, 0.765, 0.732)
Tl (0.348, 0.348, 0.962)
Tl (0.437, 0.437, 0.645)
Tl (0.563, 0.563, 0.355)
Tl (0.652, 0.652, 0.038)
Hg (0.056, 0.056, 0.856)
Hg (0.143, 0.143, 0.567)
Hg (0.857, 0.857, 0.433)
Hg (0.944, 0.944, 0.144)


# 6
# NaTl4Hg4

A geometry-optimized NaTl4Hg4 structure (PBE, the Alexandria database).

Properties
- SG = P4_2/nmc
- energy of formation from the pure elements (meV/atom) = 15.2
- E_tot (eV per cell) = -23.7
- DOS(E_F) (states/eV/cell) = 8.21
- total moment (μB/f.u.) = 0.00

Lattice parameters (Å, degrees): 8.480 8.480 8.229 90.00 90.00 90.00
Fractional coordinates of all 18 atoms:
Na (0.250, 0.750, 0.250)
Na (0.750, 0.250, 0.750)
Tl (0.030, 0.750, 0.606)
Tl (0.250, 0.530, 0.894)
Tl (0.250, 0.970, 0.894)
Tl (0.470, 0.750, 0.606)
Tl (0.530, 0.250, 0.394)
Tl (0.750, 0.030, 0.106)
Tl (0.750, 0.470, 0.106)
Tl (0.970, 0.250, 0.394)
Hg (0.042, 0.250, 0.008)
Hg (0.250, 0.042, 0.508)
Hg (0.250, 0.458, 0.508)
Hg (0.458, 0.250, 0.008)
Hg (0.542, 0.750, 0.992)
Hg (0.750, 0.542, 0.492)
Hg (0.750, 0.958, 0.492)
Hg (0.958, 0.750, 0.992)


Question: What is the E_tot in the third record?
Answer: -14.9 eV per cell


Repeat the sixth record exactly.
# NaTl4Hg4

A geometry-optimized NaTl4Hg4 structure (PBE, the Alexandria database).

Properties
- SG = P4_2/nmc
- energy of formation from the pure elements (meV/atom) = 15.2
- E_tot (eV per cell) = -23.7
- DOS(E_F) (states/eV/cell) = 8.21
- total moment (μB/f.u.) = 0.00

Lattice parameters (Å, degrees): 8.480 8.480 8.229 90.00 90.00 90.00
Fractional coordinates of all 18 atoms:
Na (0.250, 0.750, 0.250)
Na (0.750, 0.250, 0.750)
Tl (0.030, 0.750, 0.606)
Tl (0.250, 0.530, 0.894)
Tl (0.250, 0.970, 0.894)
Tl (0.470, 0.750, 0.606)
Tl (0.530, 0.250, 0.394)
Tl (0.750, 0.030, 0.106)
Tl (0.750, 0.470, 0.106)
Tl (0.970, 0.250, 0.394)
Hg (0.042, 0.250, 0.008)
Hg (0.250, 0.042, 0.508)
Hg (0.250, 0.458, 0.508)
Hg (0.458, 0.250, 0.008)
Hg (0.542, 0.750, 0.992)
Hg (0.750, 0.542, 0.492)
Hg (0.750, 0.958, 0.492)
Hg (0.958, 0.750, 0.992)


Question: Number 2 is which compound?
Answer: Na2Tl3Hg8